## BaCrOs2 (PBE-GGA)

Data for BaCrOs2 after structural relaxation.

Cell: 2.9199 3.6890 7.7252 Å, 90.00 90.00 90.00°
Last column: nearest neighbours and their distance in Å.
Atoms (fractional coordinates):
Ba 0.0000 0.0000 0.4914  2 Ba 2.92
Os 0.5000 0.5000 0.1599  1 Cr 2.49, 4 Os 2.62
Os 0.0000 0.0000 0.0114  6 Os 2.62-2.92, 4 Cr 2.71
Cr 0.5000 0.5000 0.8372  5 Os 2.49-2.71

## Properties
The space group is Pmm2 (25). Its energy relative to the elements is 3.09 eV per formula unit. The relative energy among the computed polymorphs is 332.8 meV/atom.

=====

## BaCrOs2 (PBE-GGA)

Data for BaCrOs2 after structural relaxation.

Cell: 5.4689 5.4689 2.9892 Å, 90.00 90.00 119.46°
Last column: nearest neighbours and their distance in Å.
Atoms (fractional coordinates):
Cr 0.0000 0.5000 0.5000  2 Ba 2.76, 2 Cr 2.99
Os 0.0000 0.0000 0.0000  4 Os 2.76-2.99
Os 0.5000 0.5000 0.0000  4 Os 2.76-2.99
Ba 0.5000 0.0000 0.5000  2 Cr 2.76, 2 Ba 2.99

## Properties
The space group is Cmmm (65). Its energy relative to the elements is 6.02 eV per formula unit. The relative energy among the computed polymorphs is 1063.9 meV/atom.

=====

## BaCr2Os (PBE-GGA)

Data for BaCr2Os after structural relaxation.

Cell: 3.0947 3.0947 8.1457 Å, 90.00 90.00 90.00°
Last column: nearest neighbours and their distance in Å.
Atoms (fractional coordinates):
Cr 0.0000 0.0000 0.0829  4 Cr 2.63, 1 Os 2.75
Cr 0.5000 0.5000 0.2629  4 Os 2.54, 4 Cr 2.63
Os 0.0000 0.0000 0.4204  5 Cr 2.54-2.75
Ba 0.5000 0.5000 0.7338  4 Ba 3.09, 4 Os 3.36

## Properties
The space group is P4mm (99). Its energy relative to the elements is 2.78 eV per formula unit. The relative energy among the computed polymorphs is 148.8 meV/atom.

=====

## BaCrOs2 (PBE-GGA)

Data for BaCrOs2 after structural relaxation.

Cell: 5.1447 5.7384 2.9385 Å, 77.83 84.22 114.99°
Last column: nearest neighbours and their distance in Å.
Atoms (fractional coordinates):
Os 0.5000 0.0000 0.5000  6 Os 2.83-3.09, 2 Cr 2.93, 2 Ba 2.93
Os 0.0000 0.0000 0.0000  6 Os 2.83-3.09, 2 Ba 2.93, 2 Cr 2.93
Cr 0.5000 0.5000 0.0000  4 Ba 2.83-3.09, 4 Os 2.93, 2 Cr 2.94
Ba 0.0000 0.5000 0.5000  4 Cr 2.83-3.09, 4 Os 2.93, 2 Ba 2.94

## Properties
The space group is C2/m (12). Its energy relative to the elements is 5.70 eV per formula unit. The relative energy among the computed polymorphs is 984.4 meV/atom.

=====

## BaCr2Os (PBE-GGA)

Data for BaCr2Os after structural relaxation.

Cell: 6.4722 6.4723 6.4722 Å, 147.50 140.19 52.29°
Last column: nearest neighbours and their distance in Å.
Atoms (fractional coordinates):
Os 0.5294 0.5294 0.0000  2 Cr 2.22
Ba 0.2953 0.7953 0.5000  2 Os 3.27, 8 Cr 3.38-3.56, 2 Ba 3.62
Cr 0.6397 0.1397 0.5000  2 Os 2.22
Cr 0.0357 0.0357 0.0000  2 Cr 2.51

## Properties
The space group is Imm2 (44). Its energy relative to the elements is 3.45 eV per formula unit. The relative energy among the computed polymorphs is 314.2 meV/atom.

=====

## BaCr2Os (PBE-GGA)

Data for BaCr2Os after structural relaxation.

Cell: 6.8625 5.0773 3.0947 Å, 90.04 63.14 122.55°
Last column: nearest neighbours and their distance in Å.
Atoms (fractional coordinates):
Cr 0.5000 0.0000 0.5000  4 Os 2.97, 4 Ba 2.97, 4 Cr 3.06-3.09
Cr 0.0000 0.0000 0.0000  4 Ba 2.97, 4 Os 2.97, 4 Cr 3.06-3.09
Ba 0.5000 0.5000 0.0000  8 Cr 2.97, 2 Os 3.06, 2 Ba 3.09
Os 0.0000 0.5000 0.5000  8 Cr 2.97, 2 Ba 3.06, 2 Os 3.09

## Properties
The space group is Cmmm (65). Its energy relative to the elements is 5.33 eV per formula unit. The relative energy among the computed polymorphs is 785.5 meV/atom.